1.
Material: Y2TmPd
Method: DFT, PBE
State: optimized geometry

Unit cell a=6.985 b=9.675 c=6.490 alpha=90.00 beta=90.00 gamma=90.00
Fractional coordinates of all 16 atoms:
Y: 0.184 0.059 0.180
Y: 0.184 0.441 0.180
Y: 0.316 0.559 0.680
Y: 0.316 0.941 0.680
Y: 0.684 0.059 0.320
Y: 0.684 0.441 0.320
Y: 0.816 0.559 0.820
Y: 0.816 0.941 0.820
Tm: 0.026 0.250 0.631
Tm: 0.474 0.750 0.131
Tm: 0.526 0.250 0.869
Tm: 0.974 0.750 0.369
Pd: 0.107 0.750 0.956
Pd: 0.393 0.250 0.456
Pd: 0.607 0.750 0.544
Pd: 0.893 0.250 0.044

As for the crystal system: orthorhombic. Its energy relative to the elements is -0.48 eV per atom. The energy comes out at -6.125 eV/atom.

=====

2.
Material: YTmPd
Method: DFT, PBE
State: optimized geometry

Unit cell a=7.382 b=7.382 c=4.810 alpha=90.00 beta=90.00 gamma=120.00
Fractional coordinates of all 9 atoms:
Y: 0.000 0.736 0.000
Y: 0.264 0.264 0.000
Y: 0.736 0.000 0.000
Tm: 0.000 0.406 0.500
Tm: 0.406 0.000 0.500
Tm: 0.594 0.594 0.500
Pd: 0.000 0.000 0.500
Pd: 0.333 0.667 0.000
Pd: 0.667 0.333 0.000

As for the crystal system: hexagonal. Its energy relative to the elements is -0.56 eV per atom. The energy comes out at -5.936 eV/atom.

=====

3.
Material: Y3TmPd12
Method: DFT, PBE
State: optimized geometry

Unit cell a=4.119 b=4.119 c=16.545 alpha=90.00 beta=90.00 gamma=90.00
Fractional coordinates of all 16 atoms:
Y: 0.000 0.000 0.000
Y: 0.000 0.000 0.252
Y: 0.000 0.000 0.748
Tm: 0.000 0.000 0.500
Pd: 0.000 0.500 0.126
Pd: 0.000 0.500 0.377
Pd: 0.000 0.500 0.623
Pd: 0.000 0.500 0.874
Pd: 0.500 0.000 0.126
Pd: 0.500 0.000 0.377
Pd: 0.500 0.000 0.623
Pd: 0.500 0.000 0.874
Pd: 0.500 0.500 0.000
Pd: 0.500 0.500 0.251
Pd: 0.500 0.500 0.500
Pd: 0.500 0.500 0.749

As for the crystal system: tetragonal. Its energy relative to the elements is -0.86 eV per atom. The energy comes out at -6.248 eV/atom.

=====

4.
Material: YTm2Pd4
Method: DFT, PBE
State: optimized geometry

Unit cell a=6.939 b=6.939 c=6.435 alpha=90.00 beta=90.00 gamma=90.00
Fractional coordinates of all 14 atoms:
Y: 0.000 0.000 0.000
Y: 0.500 0.500 0.500
Tm: 0.000 0.500 0.000
Tm: 0.000 0.500 0.500
Tm: 0.500 0.000 0.000
Tm: 0.500 0.000 0.500
Pd: 0.250 0.250 0.250
Pd: 0.250 0.250 0.750
Pd: 0.250 0.750 0.250
Pd: 0.250 0.750 0.750
Pd: 0.750 0.250 0.250
Pd: 0.750 0.250 0.750
Pd: 0.750 0.750 0.250
Pd: 0.750 0.750 0.750

As for the crystal system: tetragonal. Its energy relative to the elements is -0.62 eV per atom. The energy comes out at -5.787 eV/atom.

=====

5.
Material: Y6TmPd3
Method: DFT, PBE
State: optimized geometry

Unit cell a=8.745 b=8.745 c=7.234 alpha=90.00 beta=90.00 gamma=98.70
Fractional coordinates of all 20 atoms:
Y: 0.033 0.421 0.668
Y: 0.037 0.963 0.500
Y: 0.229 0.771 0.863
Y: 0.293 0.371 0.014
Y: 0.371 0.293 0.514
Y: 0.421 0.033 0.168
Y: 0.579 0.967 0.668
Y: 0.629 0.707 0.014
Y: 0.707 0.629 0.514
Y: 0.771 0.229 0.363
Y: 0.963 0.037 0.000
Y: 0.967 0.579 0.168
Tm: 0.321 0.679 0.386
Tm: 0.679 0.321 0.886
Pd: 0.088 0.290 0.300
Pd: 0.290 0.088 0.800
Pd: 0.421 0.579 0.717
Pd: 0.579 0.421 0.217
Pd: 0.710 0.912 0.300
Pd: 0.912 0.710 0.800

As for the crystal system: orthorhombic. Its energy relative to the elements is -0.50 eV per atom. The energy comes out at -6.383 eV/atom.

=====

6.
Material: YTm2Pd3
Method: DFT, PBE
State: optimized geometry

Unit cell a=3.481 b=3.481 c=10.442 alpha=90.00 beta=90.00 gamma=90.00
Fractional coordinates of all 6 atoms:
Y: 0.000 0.000 0.000
Tm: 0.000 0.000 0.335
Tm: 0.000 0.000 0.665
Pd: 0.500 0.500 0.175
Pd: 0.500 0.500 0.500
Pd: 0.500 0.500 0.825

As for the crystal system: tetragonal. Its energy relative to the elements is -0.92 eV per atom. The energy comes out at -6.081 eV/atom.

=====

7.
Material: Y2TmPd3
Method: DFT, PBE
State: optimized geometry

Unit cell a=4.991 b=15.007 c=3.428 alpha=90.00 beta=90.00 gamma=90.00
Fractional coordinates of all 12 atoms:
Y: 0.250 0.083 0.001
Y: 0.250 0.417 0.001
Y: 0.750 0.583 0.999
Y: 0.750 0.917 0.999
Tm: 0.250 0.750 0.998
Tm: 0.750 0.250 0.002
Pd: 0.250 0.250 0.501
Pd: 0.250 0.589 0.499
Pd: 0.250 0.911 0.499
Pd: 0.750 0.089 0.501
Pd: 0.750 0.411 0.501
Pd: 0.750 0.750 0.499

As for the crystal system: orthorhombic. Its energy relative to the elements is -0.90 eV per atom. The energy comes out at -6.395 eV/atom.

=====

8.
Material: Y2TmPd8
Method: DFT, PBE
State: optimized geometry

Unit cell a=7.691 b=7.691 c=6.752 alpha=107.87 beta=107.87 gamma=31.85
Fractional coordinates of all 11 atoms:
Y: 0.218 0.218 0.166
Y: 0.782 0.782 0.834
Tm: 0.500 0.500 0.500
Pd: 0.036 0.036 0.219
Pd: 0.140 0.140 0.676
Pd: 0.325 0.325 0.594
Pd: 0.410 0.410 0.053
Pd: 0.590 0.590 0.947
Pd: 0.675 0.675 0.406
Pd: 0.860 0.860 0.324
Pd: 0.964 0.964 0.781

As for the crystal system: monoclinic. Its energy relative to the elements is -0.76 eV per atom. The energy comes out at -6.117 eV/atom.